[1]
Computed, not measured: a relaxed structure of BaMg2Hg at the PBE level of DFT.

Energy of formation from the pure elements, eV/f.u.: -0.06
Size of the total moment, μB/atom: 0.00
Density, g cm⁻³: 4.20

Cell: 5.6008 5.6008 19.4973 Å, 90.00 90.00 90.00°
Closest atoms and distances in Å follow each position.
Space group I-42d (No. 122)
Unique sites:
Ba  0.0000  0.0000  0.0000 x4  8 Mg 3.94-4.00, 4 Hg 3.96
Mg  0.0076  0.2500  0.6250 x8  2 Mg 2.80, 2 Hg 2.81
Hg  0.0000  0.0000  0.5000 x4  4 Mg 2.81

=====

[2]
Computed, not measured: a relaxed structure of BaMg3Hg9 at the PBE level of DFT.

Energy of formation from the pure elements, eV/f.u.: -2.88
Size of the total moment, μB/atom: 0.00
Density, g cm⁻³: 10.28

Cell: 6.1702 14.7157 7.7725 Å, 90.00 112.62 90.00°
Closest atoms and distances in Å follow each position.
Space group C2/m (No. 12)
Unique sites:
Ba  0.0000  0.0000  0.0000 x2  14 Hg 3.55-3.89, 2 Mg 3.92
Mg  0.0000  0.5000  0.5000 x2  10 Hg 2.96-3.25
Mg  0.2500  0.2500  0.0000 x4  8 Hg 2.96-3.08, 2 Mg 3.09
Hg  0.0000  0.0000  0.5000 x2  2 Mg 3.09, 8 Hg 3.09-3.22
Hg  0.0917  0.3891  0.2176 x8  3 Mg 2.96-3.05, 5 Hg 3.09-3.26
Hg  0.1664  0.1762  0.3381 x8  3 Mg 3.07-3.25, 5 Hg 3.18-3.33

=====

[3]
Computed, not measured: a relaxed structure of BaMg9Hg3 at the PBE level of DFT.

Energy of formation from the pure elements, eV/f.u.: -2.21
Size of the total moment, μB/atom: 0.00
Density, g cm⁻³: 5.01

Cell: 6.0083 14.5737 7.8124 Å, 90.00 111.75 90.00°
Closest atoms and distances in Å follow each position.
Space group C2/m (No. 12)
Unique sites:
Ba  0.0000  0.0000  0.0000 x2  14 Mg 3.65-3.91, 6 Hg 3.94-3.95
Mg  0.0000  0.0000  0.5000 x2  2 Hg 3.00, 8 Mg 3.04-3.18
Mg  0.1040  0.3878  0.2199 x8  3 Hg 2.97-2.98, 7 Mg 3.04-3.32
Mg  0.1708  0.1791  0.3506 x8  6 Mg 3.00-3.32, 3 Hg 3.12-3.22
Hg  0.0000  0.5000  0.5000 x2  10 Mg 2.98-3.22
Hg  0.2500  0.2500  0.0000 x4  8 Mg 2.97-3.14, 2 Hg 3.00